# 1
Density functional theory data (PBE) for ScCd2Sb after structural relaxation.

Cell: 6.1327 6.1327 6.1327 Å, 140.37 140.44 57.24°
Element x y z (fractional)
Sc 0.7500 0.2500 0.5000
Cd 0.5002 0.5002 0.0000
Cd 0.9998 0.9998 0.0000
Sb 0.2500 0.7500 0.5000

## Properties
Crystal system: tetragonal
ΔE_f (raw), eV per atom: -0.3312
Space-group type: I4/mmm (139)

***

# 2
Density functional theory data (PBE) for RbLiHfSe3 after structural relaxation.

Cell: 3.9881 9.1639 9.7779 Å, 111.16 90.00 90.00°
Element x y z (fractional)
Se 0.2500 0.1357 0.8720
Se 0.2500 0.7803 0.4415
Se 0.7500 0.2197 0.5585
Se 0.7500 0.8643 0.1280
Se 0.2500 0.5311 0.8542
Se 0.7500 0.4689 0.1458
Hf 0.2500 0.6780 0.1570
Hf 0.7500 0.3220 0.8430
Li 0.2500 0.0765 0.6014
Li 0.7500 0.9235 0.3986
Rb 0.2500 0.2211 0.2601
Rb 0.7500 0.7789 0.7399

## Properties
Crystal system: monoclinic
ΔE_f (raw), eV per atom: -1.3523
Space-group type: P2_1/m (11)

***

# 3
Density functional theory data (PBE) for Th2Si7Ir12 after structural relaxation.

Cell: 3.9154 9.8346 9.8346 Å, 120.00 90.00 90.00°
Element x y z (fractional)
Si 0.5000 0.6255 0.5588
Si 0.5000 0.4412 0.0667
Si 0.0000 0.2234 0.2676
Si 0.5000 0.9333 0.3745
Si 0.0000 0.7324 0.9558
Si 0.0000 0.0442 0.7766
Si 0.0000 0.3333 0.6667
Ir 0.0000 0.9543 0.2205
Ir 0.5000 0.2160 0.8072
Ir 0.5000 0.7141 0.1110
Ir 0.5000 0.5912 0.7840
Ir 0.0000 0.0620 0.5425
Ir 0.0000 0.4575 0.5196
Ir 0.0000 0.7795 0.7338
Ir 0.5000 0.1928 0.4088
Ir 0.5000 0.8890 0.6031
Ir 0.0000 0.2662 0.0457
Ir 0.5000 0.3969 0.2859
Ir 0.0000 0.4804 0.9380
Th 0.5000 0.0000 0.0000
Th 0.0000 0.6667 0.3333

## Properties
Crystal system: hexagonal
ΔE_f (raw), eV per atom: -0.8522
Space-group type: P-6 (174)

***

# 4
Density functional theory data (PBE) for RbSeS2 after structural relaxation.

Cell: 6.9903 6.7789 6.2938 Å, 112.74 106.59 86.37°
Element x y z (fractional)
Rb 0.3036 0.6944 0.4298
Rb 0.8859 0.0299 0.9154
S 0.9958 0.4906 0.7996
S 0.2730 0.3864 0.7592
S 0.6135 0.0438 0.3828
S 0.7975 0.7993 0.2920
Se 0.3889 0.1890 0.9883
Se 0.7417 0.3666 0.4329

## Properties
Crystal system: triclinic
ΔE_f (raw), eV per atom: -0.4856
Space-group type: P1 (1)

***

# 5
Density functional theory data (PBE) for GaCo3H after structural relaxation.

Cell: 3.4638 3.4638 5.7765 Å, 90.00 90.00 90.00°
Element x y z (fractional)
Co 0.5000 0.0000 0.4729
Co 0.0000 0.0000 0.7409
Co 0.0000 0.5000 0.4729
Ga 0.0000 0.0000 0.1527
H 0.5000 0.5000 0.4243

## Properties
Crystal system: tetragonal
Polymorph energy (0 for the lowest one), kJ per mole of atoms: 49.95
Space-group type: P4mm (99)

***

# 6
Density functional theory data (PBE) for ZnRhAu2 after structural relaxation.

Cell: 4.7525 4.7525 3.0068 Å, 90.00 90.00 107.98°
Element x y z (fractional)
Zn 0.0000 0.5000 0.5000
Au 0.5000 0.5000 0.0000
Au 0.0000 0.0000 0.0000
Rh 0.5000 0.0000 0.5000

## Properties
Crystal system: orthorhombic
Energy of formation, eV per atom: -0.07
Space-group type: Cmmm (65)